Here is crystalline CaDyHg4 at its relaxed geometry from Alexandria via LeMat-Bulk. Energies are from PBE.

Summary:
As for the final energy: -20.42 eV/cell. The excess energy over the best structure of this formula in the dataset is 17.0 meV/atom. Its volume is 25.37 A^3/atom.

Lattice parameters (Å, degrees): 10.6638 3.8911 7.9113 90.00 111.95 90.00
Closest atoms and distances in Å follow each position.
Space group C2/m (No. 12)
One atom of each set of equivalent atoms:
Ca1 0.0000 0.0000 0.0000 [2 per cell]  10 Hg 3.25-3.27
Dy1 0.0000 0.0000 0.5000 [2 per cell]  10 Hg 3.21-3.29
Hg1 0.1671 0.5000 0.3386 [4 per cell]  5 Hg 3.17-3.32, 3 Dy 3.21-3.29, 2 Ca 3.25
Hg2 0.1689 0.5000 0.8288 [4 per cell]  2 Dy 3.21, 5 Hg 3.21-3.32, 3 Ca 3.27

=====

Here is crystalline Tb2CuAg at its relaxed geometry from Alexandria via LeMat-Bulk. Energies are from PBE.

Summary:
As for the final energy: -49.09 eV/cell. The excess energy over the best structure of this formula in the dataset is 236.4 meV/atom. Its volume is 25.77 A^3/atom.

Lattice parameters (Å, degrees): 4.0720 4.0720 21.5319 90.00 90.00 120.00
Closest atoms and distances in Å follow each position.
Space group R-3m (No. 166, hexagonal axes)
One atom of each set of equivalent atoms:
Tb1 0.0000 0.0000 0.2427 [6 per cell]  3 Cu 2.86, 3 Ag 3.06
Cu1 0.0000 0.0000 0.5000 [3 per cell]  6 Tb 2.86
Ag1 0.0000 0.0000 0.0000 [3 per cell]  6 Tb 3.06

=====

Here is crystalline Cr4IrSe at its relaxed geometry from Alexandria via LeMat-Bulk. Energies are from PBE.

Summary:
As for the final energy: -192.72 eV/cell. Its volume is 13.16 A^3/atom.

Lattice parameters (Å, degrees): 6.8105 6.8105 6.8105 90.00 90.00 90.00
Closest atoms and distances in Å follow each position.
Space group F-43m (No. 216)
One atom of each set of equivalent atoms:
Cr1 0.1243 0.1243 0.3757 [16 per cell]  6 Cr 2.39-2.42
Ir1 0.0000 0.0000 0.0000 [4 per cell]  12 Cr 2.82, 4 Se 2.95
Se1 0.2500 0.2500 0.7500 [4 per cell]  12 Cr 2.82, 4 Ir 2.95

=====

Here is crystalline Te2RhCN at its relaxed geometry from Alexandria via LeMat-Bulk. Energies are from PBE.

Summary:
As for the final energy: -25.73 eV/cell. The excess energy over the best structure of this formula in the dataset is 0.0 meV/atom. Its volume is 18.64 A^3/atom.

Lattice parameters (Å, degrees): 5.9637 5.9637 2.6210 90.00 90.00 90.00
Closest atoms and distances in Å follow each position.
Space group P4/mmm (No. 123)
One atom of each set of equivalent atoms:
Te1 0.0000 0.5000 0.0000 [2 per cell]  2 Te 2.62
Rh1 0.0000 0.0000 0.5000 [1 per cell]  2 Rh 2.62
C1 0.5000 0.5000 0.0000 [1 per cell]  2 N 1.31
N1 0.5000 0.5000 0.5000 [1 per cell]  2 C 1.31

=====

Here is crystalline Ac3Tl4SnSe8 at its relaxed geometry from Alexandria via LeMat-Bulk. Energies are from PBE.

Summary:
As for the final energy: -216.15 eV/cell. Its volume is 33.53 A^3/atom.

Lattice parameters (Å, degrees): 8.9849 8.9849 23.0195 90.00 90.00 120.00
Closest atoms and distances in Å follow each position.
Space group R-3m (No. 166, hexagonal axes)
One atom of each set of equivalent atoms:
Ac1 0.0000 0.5000 0.0000 [9 per cell]  6 Se 3.10-3.12
Tl1 0.0000 0.0000 0.5000 [3 per cell]  6 Se 3.48
Tl2 0.0000 0.5000 0.5000 [9 per cell]  6 Se 3.35-3.36
Sn1 0.0000 0.0000 0.0000 [3 per cell]  6 Se 2.98
Se1 0.0000 0.0000 0.2597 [6 per cell]  3 Ac 3.10, 3 Tl 3.36
Se2 0.0142 0.5071 0.7384 [18 per cell]  1 Sn 2.98, 2 Ac 3.12

=====

Here is crystalline CeHgTe2 at its relaxed geometry from Alexandria via LeMat-Bulk. Energies are from PBE.

Summary:
As for the final energy: -61.75 eV/cell. The excess energy over the best structure of this formula in the dataset is 20.8 meV/atom. Its volume is 28.75 A^3/atom.

Lattice parameters (Å, degrees): 7.7193 7.7193 7.7193 90.00 90.00 90.00
Closest atoms and distances in Å follow each position.
Space group Fm-3m (No. 225)
One atom of each set of equivalent atoms:
Ce1 0.0000 0.0000 0.0000 [4 per cell]  8 Te 3.34
Hg1 0.0000 0.0000 0.5000 [4 per cell]  8 Te 3.34
Te1 0.2500 0.2500 0.2500 [8 per cell]  4 Ce 3.34, 4 Hg 3.34

=====

Here is crystalline Ho3Ga2Rh at its relaxed geometry from Alexandria via LeMat-Bulk. Energies are from PBE.

Summary:
As for the final energy: -124.91 eV/cell. Its volume is 23.21 A^3/atom.

Lattice parameters (Å, degrees): 11.7745 4.2746 11.0674 90.00 90.00 90.00
Closest atoms and distances in Å follow each position.
Space group Pnma (No. 62)
One atom of each set of equivalent atoms:
Ho1 0.0483 0.2500 0.1246 [4 per cell]  5 Ga 2.94-3.19, 1 Rh 2.95
Ho2 0.1171 0.7500 0.5590 [4 per cell]  3 Rh 2.91-2.92, 5 Ga 3.02-3.15
Ho3 0.2288 0.2500 0.8027 [4 per cell]  2 Rh 2.89, 4 Ga 3.03-3.16
Ga1 0.0092 0.7500 0.3025 [4 per cell]  2 Rh 2.66, 2 Ho 2.94
Ga2 0.1919 0.7500 0.0088 [4 per cell]  1 Rh 2.61
Rh1 0.1228 0.2500 0.3792 [4 per cell]  3 Ga 2.61-2.66, 5 Ho 2.89-2.92

=====

Here is crystalline Ag2TePd at its relaxed geometry from Alexandria via LeMat-Bulk. Energies are from PBE.

Summary:
As for the final energy: -37.33 eV/cell. Its volume is 21.41 A^3/atom.

Lattice parameters (Å, degrees): 3.0038 3.0038 32.8713 90.00 90.00 120.00
Closest atoms and distances in Å follow each position.
Space group R-3m (No. 166, hexagonal axes)
One atom of each set of equivalent atoms:
Ag1 0.0000 0.0000 0.0815 [6 per cell]  1 Pd 2.68
Te1 0.0000 0.0000 0.5000 [3 per cell]  6 Te 3.00, 6 Ag 3.29
Pd1 0.0000 0.0000 0.0000 [3 per cell]  2 Ag 2.68

=====

Copy entry 5 word for word.
Here is crystalline Ac3Tl4SnSe8 at its relaxed geometry from Alexandria via LeMat-Bulk. Energies are from PBE.

Summary:
As for the final energy: -216.15 eV/cell. Its volume is 33.53 A^3/atom.

Lattice parameters (Å, degrees): 8.9849 8.9849 23.0195 90.00 90.00 120.00
Closest atoms and distances in Å follow each position.
Space group R-3m (No. 166, hexagonal axes)
One atom of each set of equivalent atoms:
Ac1 0.0000 0.5000 0.0000 [9 per cell]  6 Se 3.10-3.12
Tl1 0.0000 0.0000 0.5000 [3 per cell]  6 Se 3.48
Tl2 0.0000 0.5000 0.5000 [9 per cell]  6 Se 3.35-3.36
Sn1 0.0000 0.0000 0.0000 [3 per cell]  6 Se 2.98
Se1 0.0000 0.0000 0.2597 [6 per cell]  3 Ac 3.10, 3 Tl 3.36
Se2 0.0142 0.5071 0.7384 [18 per cell]  1 Sn 2.98, 2 Ac 3.12

=====

Which value of final energy does entry 8 give?
-37.33 eV/cell